(1)
DFT (PBE) results for crystalline Eu2CdHg at its relaxed geometry.

Formation energy, eV/atom: -0.45

abc: 5.5347 5.5347 5.5347
angles: 60.00 60.00 60.00
Site moments in Bohr magnetons follow the coordinates.
Positions (direct):
Eu1 0.7500 0.7500 0.7500  6.87
Eu2 0.2500 0.2500 0.2500  6.87
Hg1 0.5000 0.5000 0.5000  0.01
Cd1 0.0000 0.0000 0.0000  0.01

(2)
DFT (PBE) results for crystalline EuCdHg2 at its relaxed geometry.

Formation energy, eV/atom: -0.34

abc: 4.6267 4.8404 4.8404
angles: 90.00 90.00 90.00
Site moments in Bohr magnetons follow the coordinates.
Positions (direct):
Eu1 0.5000 0.5000 0.5000  6.90
Hg1 0.0000 0.0000 0.5000  0.03
Hg2 0.0000 0.5000 0.0000  0.03
Cd1 0.5000 0.0000 0.0000  0.01

(3)
DFT (PBE) results for crystalline EuCdHg at its relaxed geometry.

Formation energy, eV/atom: -0.30

abc: 5.1121 5.1121 5.1121
angles: 60.00 60.00 60.00
Site moments in Bohr magnetons follow the coordinates.
Positions (direct):
Eu1 0.0000 0.0000 0.0000  6.90
Hg1 0.2500 0.2500 0.2500  0.04
Cd1 0.5000 0.5000 0.5000  0.02

(4)
DFT (PBE) results for crystalline EuHoCdHg at its relaxed geometry.

Formation energy, eV/atom: -0.39

abc: 5.3786 5.3786 5.3786
angles: 60.00 60.00 60.00
Site moments in Bohr magnetons follow the coordinates.
Positions (direct):
Eu1 0.0000 0.0000 0.0000  6.82
Cd1 0.7500 0.7500 0.7500  0.00
Hg1 0.2500 0.2500 0.2500  0.00
Ho1 0.5000 0.5000 0.5000  -0.02

(5)
DFT (PBE) results for crystalline LiEuCdHg at its relaxed geometry.

Formation energy, eV/atom: -0.30

abc: 5.1617 5.1617 5.1617
angles: 60.00 60.00 60.00
Site moments in Bohr magnetons follow the coordinates.
Positions (direct):
Eu1 0.2500 0.2500 0.2500  6.88
Li1 0.5000 0.5000 0.5000  0.03
Hg1 0.0000 0.0000 0.0000  0.02
Cd1 0.7500 0.7500 0.7500  0.01

(6)
DFT (PBE) results for crystalline EuMgCdHg at its relaxed geometry.

Formation energy, eV/atom: -0.35

abc: 5.2319 5.2319 5.2319
angles: 60.00 60.00 60.00
Site moments in Bohr magnetons follow the coordinates.
Positions (direct):
Eu1 0.0000 0.0000 0.0000  6.82
Mg1 0.5000 0.5000 0.5000  0.00
Hg1 0.2500 0.2500 0.2500  0.01
Cd1 0.7500 0.7500 0.7500  0.01

(7)
DFT (PBE) results for crystalline NaEuCdHg at its relaxed geometry.

Formation energy, eV/atom: -0.28

abc: 5.4222 5.4222 5.4222
angles: 60.00 60.00 60.00
Site moments in Bohr magnetons follow the coordinates.
Positions (direct):
Eu1 0.5000 0.5000 0.5000  6.94
Na1 0.0000 0.0000 0.0000  0.01
Hg1 0.2500 0.2500 0.2500  0.04
Cd1 0.7500 0.7500 0.7500  0.04

(8)
DFT (PBE) results for crystalline EuCdHgPb at its relaxed geometry.

Formation energy, eV/atom: -0.35

abc: 5.3668 5.3668 5.3668
angles: 60.00 60.00 60.00
Site moments in Bohr magnetons follow the coordinates.
Positions (direct):
Pb1 0.0000 0.0000 0.0000  0.00
Eu1 0.2500 0.2500 0.2500  -6.85
Hg1 0.5000 0.5000 0.5000  0.00
Cd1 0.7500 0.7500 0.7500  0.01

(9)
DFT (PBE) results for crystalline PmEuCdHg at its relaxed geometry.

Formation energy, eV/atom: -0.41

abc: 5.4580 5.4580 5.4580
angles: 60.00 60.00 60.00
Site moments in Bohr magnetons follow the coordinates.
Positions (direct):
Eu1 0.5000 0.5000 0.5000  -6.83
Cd1 0.2500 0.2500 0.2500  0.00
Hg1 0.7500 0.7500 0.7500  0.00
Pm1 0.0000 0.0000 0.0000  0.02

(10)
DFT (PBE) results for crystalline EuCdHgPt at its relaxed geometry.

Formation energy, eV/atom: -0.46

abc: 5.0642 5.0642 5.0642
angles: 60.00 60.00 60.00
Site moments in Bohr magnetons follow the coordinates.
Positions (direct):
Eu1 0.5000 0.5000 0.5000  6.76
Hg1 0.2500 0.2500 0.2500  0.02
Pt1 0.7500 0.7500 0.7500  -0.03
Cd1 0.0000 0.0000 0.0000  0.01

(11)
DFT (PBE) results for crystalline RbEuCdHg at its relaxed geometry.

Formation energy, eV/atom: -0.12

abc: 5.8520 5.8520 5.8520
angles: 60.00 60.00 60.00
Site moments in Bohr magnetons follow the coordinates.
Positions (direct):
Eu1 0.2500 0.2500 0.2500  6.98
Hg1 0.5000 0.5000 0.5000  0.03
Rb1 0.7500 0.7500 0.7500  0.01
Cd1 0.0000 0.0000 0.0000  0.02

(12)
DFT (PBE) results for crystalline EuCdHgSb at its relaxed geometry.

Formation energy from raw total energies, meV/atom: -422

abc: 5.4084 5.4084 5.4084
angles: 60.00 60.00 60.00
Site moments in Bohr magnetons follow the coordinates.
Positions (direct):
Eu1 0.2500 0.2500 0.2500  6.83
Sb1 0.0000 0.0000 0.0000  -0.03
Hg1 0.5000 0.5000 0.5000  0.00
Cd1 0.7500 0.7500 0.7500  -0.01

Number 1: V 120 Å³/cell, VASP energy -5.892 eV/atom. Number 2: V 108 Å³/cell, VASP energy -3.293 eV/atom. Number 3: V 94 Å³/cell, VASP energy -4.126 eV/atom. Number 4: V 110 Å³/cell, VASP energy -4.408 eV/atom. Number 5: V 97 Å³/cell, VASP energy -3.649 eV/atom. Number 6: V 101 Å³/cell, VASP energy -3.626 eV/atom. Number 7: V 113 Å³/cell, VASP energy -3.484 eV/atom. Number 8: V 109 Å³/cell, VASP energy -4.155 eV/atom. Number 9: V 115 Å³/cell, VASP energy -4.474 eV/atom. Number 10: V 92 Å³/cell, VASP energy -4.842 eV/atom. Number 11: V 142 Å³/cell, VASP energy -3.239 eV/atom. Number 12: V 112 Å³/cell, VASP energy -4.326 eV/atom.